1.
Computed, not measured: an optimized crystal structure of PuNpIr2 at the PBE level of DFT.

extended XYZ file:
```
4
Lattice="1.9708 1.1379 6.5488 -1.9708 1.1379 6.5488 0.0000 -2.2757 6.5488" Properties=species:S:1:pos:R:3 pbc="T T T"
Pu 0.0000 0.0000 0.0000
Np 0.0000 0.0000 9.8231
Ir 0.0000 0.0000 4.8615
Ir 0.0000 0.0000 14.7848
```

Calculated values
- Space-group type: R-3m
- DOS at the Fermi energy: 3.6778 states/eV/atom
- Energy above the lowest structure with this stoichiometry: 0.060 eV per atom
- VASP energy: -11.538 eV/atom
- Crystal system: trigonal
- Volume: 88.12 Å³ per cell
- Energy relative to the elements: -1.158 eV per formula unit

=====

2.
Computed, not measured: an optimized crystal structure of Rb2NdF4 at the PBE level of DFT.

extended XYZ file:
```
7
Lattice="-2.3071 2.3071 9.4392 2.3071 -2.3071 9.4392 2.3071 2.3071 -9.4392" Properties=species:S:1:pos:R:3 pbc="T T T"
Rb 0.0000 0.0000 2.9855
Rb 0.0000 0.0000 15.8930
Nd 0.0000 0.0000 9.4392
F 2.3071 0.0000 0.0000
F 0.0000 0.0000 7.1926
F 0.0000 2.3071 0.0000
F 0.0000 0.0000 11.6858
```

Calculated values
- Space-group type: I4/mmm
- DOS at the Fermi energy: 0.1491 states/eV/atom
- VASP energy: -5.029 eV/atom
- Crystal system: tetragonal
- Formation energy from raw total energies: -3.00 eV per atom
- Volume: 200.96 Å³ per cell

=====

3.
Computed, not measured: an optimized crystal structure of MoPtSe2 at the PBE level of DFT.

extended XYZ file:
```
8
Lattice="-2.8996 2.8996 5.4404 2.8996 -2.8996 5.4404 2.8996 2.8996 -5.4404" Properties=species:S:1:pos:R:3 pbc="T T T"
Mo 0.0000 0.0000 0.0000
Mo 0.0000 2.8996 2.7202
Pt 2.8996 0.0000 2.7202
Pt 0.0000 0.0000 5.4404
Se 4.3494 1.4008 -1.3601
Se 1.4008 1.4498 1.3601
Se -1.4498 1.4988 4.0803
Se 1.4988 1.4498 6.8005
```

Calculated values
- Space-group type: I-42d
- DOS at the Fermi energy: 0.7033 states/eV/atom
- Energy above the lowest structure with this stoichiometry: 0.258 eV per atom
- VASP energy: -5.839 eV/atom
- Crystal system: tetragonal
- Formation energy from raw total energies: 0.12 eV per atom
- Volume: 182.97 Å³ per cell

=====

4.
Computed, not measured: an optimized crystal structure of SbPbN2 at the PBE level of DFT.

extended XYZ file:
```
4
Lattice="1.6350 0.9440 7.2637 -1.6350 0.9440 7.2637 0.0000 -1.8880 7.2637" Properties=species:S:1:pos:R:3 pbc="T T T"
Sb 0.0000 0.0000 0.0000
Pb 0.0000 0.0000 10.8956
N 0.0000 0.0000 8.3505
N 0.0000 0.0000 13.4406
```

Calculated values
- Space-group type: R-3m
- DOS at the Fermi energy: 0.1725 states/eV/atom
- Energy above the lowest structure with this stoichiometry: 0.000 eV per atom
- VASP energy: -5.626 eV/atom
- Crystal system: trigonal
- Formation energy from raw total energies: 0.49 eV per atom
- Volume: 67.27 Å³ per cell